# 1
Co2PdRuN | GGA-PBE | optimized geometry

```
5
Lattice="-1.067 4.366 -1.442 -2.816 0.054 2.247 2.745 1.793 3.396" Properties=species:S:1:pos:R:3 pbc="T T T"
Pd 0.000 0.000 0.000
N -1.408 0.027 1.124
Ru -0.569 3.106 2.101
Co 1.372 0.896 1.698
Co -0.534 2.183 -0.721
```

Computed properties:
energy relative to the elements, uncorrected: 1.733 eV per atom
energy above the lowest structure with this stoichiometry: 154.3 kJ per mole of atoms


# 2
CaNd5Sn5 | GGA-PBE | optimized geometry

```
11
Lattice="-0.036 -6.297 -0.997 4.465 3.807 -3.826 3.578 -1.539 9.595" Properties=species:S:1:pos:R:3 pbc="T T T"
Ca 0.000 0.000 0.000
Nd 3.500 0.182 -1.277
Nd 5.380 -0.579 3.463
Nd 1.789 -0.770 4.797
Nd 4.508 -4.211 6.049
Nd 2.628 -3.450 1.309
Sn 4.493 -1.052 6.487
Sn 5.379 -3.726 2.953
Sn 3.515 -2.976 -1.715
Sn -0.018 -3.149 -0.498
Sn 2.629 -0.303 1.819
```

Computed properties:
calculated formation energy: -0.437 eV per atom


# 3
Pm5SiBi | GGA-PBE | optimized geometry

```
14
Lattice="6.529 0.345 -0.377 2.398 6.082 -0.377 2.843 2.047 11.061" Properties=species:S:1:pos:R:3 pbc="T T T"
Pm 3.668 4.217 9.286
Pm 7.512 4.132 4.658
Pm 8.028 7.356 6.551
Pm 8.101 4.257 1.021
Pm 4.257 4.342 5.649
Pm 3.741 1.118 3.756
Pm 7.723 6.837 10.189
Pm 4.723 7.350 7.919
Pm 4.047 1.637 0.118
Pm 7.047 1.124 2.388
Si 1.421 1.023 5.531
Si 0.000 0.000 0.000
Bi 6.790 4.478 7.919
Bi 4.979 3.996 2.388
```

Computed properties:
energy relative to the elements, uncorrected: -0.292 eV per atom


# 4
NdEr2Pd | GGA-PBE | optimized geometry

```
4
Lattice="3.697 0.000 0.000 1.848 3.201 0.000 1.848 1.067 9.735" Properties=species:S:1:pos:R:3 pbc="T T T"
Er 1.848 1.067 1.865
Er 5.545 3.201 7.871
Pd 0.000 0.000 0.000
Nd 3.697 2.134 4.868
```

Computed properties:
calculated formation energy: -0.313 eV per atom
energy above the lowest structure with this stoichiometry: 14.6 kJ per mole of atoms


# 5
CsSiSb2I | GGA-PBE | optimized geometry

```
5
Lattice="6.505 0.000 0.000 0.000 6.505 0.000 0.000 0.000 6.787" Properties=species:S:1:pos:R:3 pbc="T T T"
I 0.000 0.000 3.394
Si 3.253 3.253 3.394
Sb 3.253 0.000 0.000
Sb 0.000 3.253 0.000
Cs 0.000 0.000 0.000
```

Computed properties:
energy relative to the elements, uncorrected: 1.512 eV per atom
energy above the lowest structure with this stoichiometry: 141.9 kJ per mole of atoms


# 6
SrRh2 | GGA-PBE | optimized geometry

```
6
Lattice="-3.142 -2.956 6.700 -6.940 0.902 3.812 3.864 -1.319 -6.843" Properties=species:S:1:pos:R:3 pbc="T T T"
Rh -4.211 -0.858 4.391
Rh -4.888 -0.892 1.978
Rh -3.228 -0.553 0.247
Rh -5.871 -1.196 6.122
Sr -2.160 -2.651 2.557
Sr 0.000 0.000 0.000
```

Computed properties:
calculated formation energy: -0.087 eV per atom


# 7
Nd2NbBr | GGA-PBE | optimized geometry

```
4
Lattice="3.365 0.000 0.000 1.682 2.914 0.000 1.682 0.971 10.980" Properties=species:S:1:pos:R:3 pbc="T T T"
Nb 0.000 0.000 0.000
Br 3.365 1.943 5.490
Nd 1.682 0.971 7.968
Nd 5.047 2.914 3.012
```

Computed properties:
energy relative to the elements, uncorrected: 0.095 eV per atom


# 8
RhSe | GGA-PBE | optimized geometry

```
8
Lattice="3.378 0.000 0.000 0.000 6.292 0.000 0.000 0.000 7.193" Properties=species:S:1:pos:R:3 pbc="T T T"
Rh 0.844 0.778 6.339
Rh 2.533 3.924 4.451
Rh 2.533 5.514 0.854
Rh 0.844 2.368 2.742
Se 2.533 1.533 4.668
Se 2.533 1.613 1.071
Se 0.844 4.679 6.122
Se 0.844 4.760 2.525
```

Computed properties:
energy relative to the elements, uncorrected: -0.116 eV per atom


# 9
NpGa2Co2 | GGA-PBE | optimized geometry

```
10
Lattice="4.035 0.000 0.000 0.000 4.035 0.000 -2.017 -2.017 9.856" Properties=species:S:1:pos:R:3 pbc="T T T"
Co 2.017 2.017 8.531
Co 2.017 0.000 4.928
Co 0.000 0.000 1.325
Co 0.000 2.017 4.928
Np 2.017 2.017 2.583
Np 0.000 0.000 7.273
Ga 2.017 0.000 0.000
Ga 2.017 2.017 6.176
Ga 0.000 0.000 3.680
Ga 0.000 2.017 0.000
```

Computed properties:
calculated formation energy: -0.124 eV per atom


# 10
Ba2LiCd6Rh | GGA-PBE | optimized geometry

```
10
Lattice="-6.475 -0.931 2.939 2.932 -4.785 4.965 -0.718 0.852 7.419" Properties=species:S:1:pos:R:3 pbc="T T T"
Cd -1.041 -1.301 6.028
Cd 0.551 -3.787 4.962
Cd -4.812 -1.077 10.361
Cd -3.221 -3.563 9.295
Cd -1.982 -0.673 9.078
Cd -2.279 -4.191 6.245
Ba 0.489 -3.463 8.745
Ba -4.750 -1.401 6.578
Rh -1.771 -2.858 3.952
Li 0.000 0.000 0.000
```

Computed properties:
calculated formation energy: -0.230 eV per atom


# 11
Ba3ZrZn | GGA-PBE | optimized geometry

```
5
Lattice="6.304 0.000 0.000 0.000 6.304 0.000 0.000 0.000 6.304" Properties=species:S:1:pos:R:3 pbc="T T T"
Ba 3.152 0.000 0.000
Ba 0.000 0.000 3.152
Ba 0.000 3.152 0.000
Zn 0.000 0.000 0.000
Zr 3.152 3.152 3.152
```

Computed properties:
calculated formation energy: 0.641 eV per atom
energy above the lowest structure with this stoichiometry: 0.0 kJ per mole of atoms


# 12
MgCu2O4 | GGA-PBE | optimized geometry

```
14
Lattice="5.897 -0.001 -0.001 2.898 5.136 -0.001 2.898 1.692 4.849" Properties=species:S:1:pos:R:3 pbc="T T T"
O 7.504 5.928 4.209
O 5.736 3.348 4.053
O 10.223 5.968 4.237
O 8.851 3.619 4.209
O 5.736 4.930 1.825
O 7.114 2.570 1.825
O 4.376 2.555 1.814
O 8.851 5.167 2.029
Cu 2.848 1.663 1.181
Cu 5.864 3.423 0.596
Cu 5.864 1.691 3.036
Cu 4.356 4.275 3.036
Mg 7.312 4.268 3.031
Mg 0.146 0.085 0.061
```

Computed properties:
energy relative to the elements, uncorrected: -1.031 eV per atom
energy above the lowest structure with this stoichiometry: 6.4 kJ per mole of atoms


# 13
Cd3GeIr | GGA-PBE | optimized geometry

```
5
Lattice="4.998 0.000 0.000 0.000 4.998 0.000 0.000 0.000 4.998" Properties=species:S:1:pos:R:3 pbc="T T T"
Cd 0.000 0.000 2.499
Cd 0.000 2.499 0.000
Cd 2.499 0.000 0.000
Ge 0.000 0.000 0.000
Ir 2.499 2.499 2.499
```

Computed properties:
calculated formation energy: 1.078 eV per atom
energy above the lowest structure with this stoichiometry: 47.0 kJ per mole of atoms


# 14
PmAsS3 | GGA-PBE | optimized geometry

```
20
Lattice="6.988 0.000 0.000 0.000 7.766 -0.556 0.000 0.344 10.417" Properties=species:S:1:pos:R:3 pbc="T T T"
As 5.782 1.502 9.091
As 2.288 6.780 5.978
As 1.206 6.608 0.770
As 4.701 1.330 3.883
S 3.495 6.143 7.787
S 0.200 2.038 0.272
S 6.788 6.072 9.589
S 3.694 5.900 4.380
S 0.001 2.138 7.283
S 2.630 4.772 0.897
S 4.358 3.338 8.964
S 6.988 5.971 2.578
S 6.124 3.166 3.756
S 3.494 1.966 2.074
S 0.864 4.943 6.105
S 3.294 2.209 5.481
Pm 5.418 4.058 1.119
Pm 5.064 4.230 6.327
Pm 1.924 3.879 3.534
Pm 1.570 4.051 8.742
```

Computed properties:
energy relative to the elements, uncorrected: -1.071 eV per atom
energy above the lowest structure with this stoichiometry: 0.0 kJ per mole of atoms


# 15
SrAs2Ru2 | GGA-PBE | optimized geometry

```
5
Lattice="-1.510 -2.843 2.716 0.409 -3.004 -2.923 5.808 1.869 1.923" Properties=species:S:1:pos:R:3 pbc="T T T"
As 3.772 -0.757 1.305
As 0.935 -3.220 0.410
Ru 2.833 -2.029 -0.552
Ru 1.874 -1.948 2.268
Sr 0.000 0.000 0.000
```

Computed properties:
calculated formation energy: -0.680 eV per atom


# 16
NaAu | GGA-PBE | optimized geometry

```
12
Lattice="-7.910 -2.360 -0.269 1.967 -7.034 3.855 -1.330 3.628 7.299" Properties=species:S:1:pos:R:3 pbc="T T T"
Na -6.597 0.044 3.448
Na -2.479 -6.455 2.757
Na 0.651 -2.610 3.752
Na -3.463 -2.938 0.829
Na -0.014 -0.796 7.401
Na -2.643 1.224 3.582
Au -0.173 0.056 4.613
Au 0.810 -3.461 6.540
Au -4.949 -5.287 1.726
Au -0.994 -4.107 1.860
Au -4.953 1.541 5.340
Au -4.287 -0.273 1.690
```

Computed properties:
calculated formation energy: 0.009 eV per atom


# 17
PaZnGeO | GGA-PBE | optimized geometry

```
8
Lattice="-1.914 -3.313 0.859 -0.687 -0.593 -3.815 7.377 -4.428 -0.640" Properties=species:S:1:pos:R:3 pbc="T T T"
O 3.688 -2.214 -0.320
O 2.388 -4.167 -1.798
Zn 0.000 0.000 0.000
Zn -1.301 -1.953 -1.478
Ge 0.473 -2.515 0.305
Ge 5.603 -3.866 -2.423
Pa 3.866 -4.552 0.011
Pa 2.210 -1.829 -2.129
```

Computed properties:
energy relative to the elements, uncorrected: -1.499 eV per atom


# 18
VIn3Br | GGA-PBE | optimized geometry

```
5
Lattice="-5.073 2.513 -1.093 -1.095 -3.967 -4.039 -2.513 -3.346 3.967" Properties=species:S:1:pos:R:3 pbc="T T T"
V -4.340 -2.400 -0.583
In -2.537 1.257 -0.547
In -0.547 -1.983 -2.020
In -1.256 -1.673 1.984
Br 0.000 0.000 0.000
```

Computed properties:
energy relative to the elements, uncorrected: 0.895 eV per atom
energy above the lowest structure with this stoichiometry: 64.2 kJ per mole of atoms


# 19
Ba2TePIr | GGA-PBE | optimized geometry

```
5
Lattice="6.287 0.000 0.000 0.000 6.287 0.000 0.000 0.000 4.348" Properties=species:S:1:pos:R:3 pbc="T T T"
Te 3.144 3.144 2.174
Ba 3.144 0.000 0.000
Ba 0.000 3.144 0.000
P 0.000 0.000 0.000
Ir 0.000 0.000 2.174
```

Computed properties:
energy relative to the elements, uncorrected: -0.896 eV per atom
energy above the lowest structure with this stoichiometry: 7.9 kJ per mole of atoms


# 20
NaAgPd | GGA-PBE | optimized geometry

```
6
Lattice="-0.608 -4.411 1.314 1.566 1.161 4.623 -5.475 1.216 1.549" Properties=species:S:1:pos:R:3 pbc="T T T"
Ag -0.108 -0.741 5.663
Ag -4.409 -1.292 1.823
Na -3.323 1.493 3.474
Na -0.586 0.885 2.698
Pd -2.737 0.608 0.774
Pd 0.000 0.000 0.000
```

Computed properties:
calculated formation energy: -0.007 eV per atom
energy above the lowest structure with this stoichiometry: 13.4 kJ per mole of atoms


# 21
CoAgAs4 | GGA-PBE | optimized geometry

```
6
Lattice="0.000 3.883 3.883 3.883 0.000 3.883 3.883 3.883 0.000" Properties=species:S:1:pos:R:3 pbc="T T T"
As 2.911 4.855 4.855
As 2.911 2.911 2.911
As 4.855 2.911 4.855
As 4.855 4.855 2.911
Ag 0.000 0.000 0.000
Co 5.825 5.825 5.825
```

Computed properties:
calculated formation energy: 0.696 eV per atom


# 22
BaHf2TcGe | GGA-PBE | optimized geometry

```
5
Lattice="-3.981 1.421 -3.067 2.269 -1.719 -3.742 -2.252 -4.648 0.771" Properties=species:S:1:pos:R:3 pbc="T T T"
Hf -1.991 0.710 -1.533
Hf -1.126 -2.324 0.385
Ba -1.983 -2.474 -3.019
Ge 0.000 0.000 0.000
Tc 1.134 -0.860 -1.871
```

Computed properties:
calculated formation energy: 0.672 eV per atom


# 23
AcMgAs | GGA-PBE | optimized geometry

```
3
Lattice="4.483 0.000 0.000 0.000 4.584 0.000 0.000 -2.292 3.970" Properties=species:S:1:pos:R:3 pbc="T T T"
As 0.747 0.000 0.000
Ac 2.988 2.292 1.323
Mg 0.747 0.000 2.647
```

Computed properties:
calculated formation energy: -0.772 eV per atom
energy above the lowest structure with this stoichiometry: 0.0 kJ per mole of atoms


# 24
Tm3UBi4 | GGA-PBE | optimized geometry

```
8
Lattice="-3.874 -0.273 2.134 -0.530 -7.455 -1.915 3.677 0.615 6.754" Properties=species:S:1:pos:R:3 pbc="T T T"
Bi -1.410 -5.564 1.330
Bi 0.802 -1.743 1.233
Bi 2.345 -5.096 3.606
Bi 0.683 -1.549 5.643
U -1.937 -0.137 1.067
Tm -0.265 -3.727 -0.958
Tm -0.363 -3.556 3.487
Tm 1.839 0.308 3.377
```

Computed properties:
calculated formation energy: -0.530 eV per atom